(1)
An optimized crystal structure of ZrTl2HSe. Source: Alexandria via LeMat-Bulk, functional PBE.

Cell lengths 5.9182, 5.9182, 3.2513 Å; angles 90.00, 90.00, 90.00 degrees
Last column: nearest neighbours and their distance in Å.
Fractional coordinates of all 5 atoms:
1 Zr 0.0000 0.0000 0.0000  2 Zr 3.25, 8 Tl 3.38
2 Tl 0.0000 0.5000 0.5000  2 Se 2.96, 2 Tl 3.25
3 Tl 0.5000 0.0000 0.5000  2 Se 2.96, 2 Tl 3.25
4 H 0.5000 0.5000 0.0000  2 Se 1.63
5 Se 0.5000 0.5000 0.5000  2 H 1.63

Properties
* energy: -3.694 eV per atom
* density: 8457 kg/m3
* density of states at the Fermi level: 0.844 states/eV per atom


(2)
An optimized crystal structure of TmHSe. Source: Alexandria via LeMat-Bulk, functional PBE.

Cell lengths 4.6957, 4.6957, 4.6957 Å; angles 131.92, 131.92, 70.36 degrees
Last column: nearest neighbours and their distance in Å.
Fractional coordinates of all 3 atoms:
1 Tm 0.0000 0.0000 0.0000  1 H 2.04
2 H 0.7336 0.7336 0.0000  1 Tm 2.04
3 Se 0.3772 0.3772 0.0000  5 H 2.74-2.92, 5 Tm 2.86-2.90

Properties
* energy: -4.644 eV per atom
* density: 7357 kg/m3
* density of states at the Fermi level: 0.146 states/eV per atom


(3)
An optimized crystal structure of TmHSe. Source: Alexandria via LeMat-Bulk, functional PBE.

Cell lengths 4.4450, 4.4450, 4.4450 Å; angles 60.00, 60.00, 60.00 degrees
Last column: nearest neighbours and their distance in Å.
Fractional coordinates of all 3 atoms:
1 Tm 0.0000 0.0000 0.0000  4 Se 2.72, 4 H 2.72
2 H 0.2500 0.2500 0.2500  4 Tm 2.72
3 Se 0.7500 0.7500 0.7500  4 Tm 2.72

Properties
* energy: -4.788 eV per atom
* density: 6655 kg/m3
* density of states at the Fermi level: 0.000 states/eV per atom


(4)
An optimized crystal structure of Tm4HSe3. Source: Alexandria via LeMat-Bulk, functional PBE.

Cell lengths 8.8309, 7.7273, 5.7520 Å; angles 90.00, 90.00, 90.00 degrees
Last column: nearest neighbours and their distance in Å.
Fractional coordinates of all 16 atoms:
1 Tm 0.0000 0.1276 0.0000  1 H 2.27
2 Tm 0.0000 0.8686 0.4883  1 H 2.12
3 Tm 0.2002 0.7190 0.0024  1 H 2.22
4 Tm 0.2998 0.2810 0.5024  1 H 2.22
5 Tm 0.5000 0.1314 0.9883  1 H 2.12
6 Tm 0.5000 0.8724 0.5000  1 H 2.27
7 Tm 0.7002 0.2810 0.5024  1 H 2.22
8 Tm 0.7998 0.7190 0.0024  1 H 2.22
9 H 0.0000 0.8539 0.8555  4 Tm 2.12-2.27
10 H 0.5000 0.1461 0.3555  4 Tm 2.12-2.27
11 Se 0.0000 0.2221 0.5039  5 Tm 2.69-2.99
12 Se 0.2459 0.6457 0.5043  5 Tm 2.77-2.97
13 Se 0.2541 0.3543 0.0043  5 Tm 2.77-2.97
14 Se 0.5000 0.7779 0.0039  5 Tm 2.69-2.99
15 Se 0.7459 0.3543 0.0043  5 Tm 2.77-2.97
16 Se 0.7541 0.6457 0.5043  5 Tm 2.77-2.97

Properties
* energy: -5.150 eV per atom
* density: 7730 kg/m3
* density of states at the Fermi level: 0.587 states/eV per atom


(5)
An optimized crystal structure of Tm4H2Se5. Source: Alexandria via LeMat-Bulk, functional PBE.

Cell lengths 9.9413, 9.9413, 7.9617 Å; angles 103.31, 103.31, 23.08 degrees
Last column: nearest neighbours and their distance in Å.
Fractional coordinates of all 11 atoms:
1 Tm 0.0382 0.0382 0.2616  2 H 2.17
2 Tm 0.3305 0.3305 0.4590  1 H 2.12
3 Tm 0.6695 0.6695 0.5410  1 H 2.12
4 Tm 0.9618 0.9618 0.7384  2 H 2.17
5 H 0.4281 0.4281 0.6448  3 Tm 2.12-2.17
6 H 0.5719 0.5719 0.3552  3 Tm 2.12-2.17
7 Se 0.0923 0.0923 0.6518  4 Tm 2.76-3.04, 2 H 3.04
8 Se 0.1878 0.1878 0.2988  4 Tm 2.77-2.86
9 Se 0.5000 0.5000 0.0000  2 H 2.85, 4 Tm 2.85
10 Se 0.8122 0.8122 0.7012  4 Tm 2.77-2.86
11 Se 0.9077 0.9077 0.3482  4 Tm 2.76-3.04, 2 H 3.04

Properties
* energy: -5.324 eV per atom
* density: 5940 kg/m3
* density of states at the Fermi level: 0.000 states/eV per atom


(6)
An optimized crystal structure of TmHSe2. Source: Alexandria via LeMat-Bulk, functional PBE.

Cell lengths 4.1162, 8.9905, 5.5888 Å; angles 90.00, 90.00, 90.00 degrees
Last column: nearest neighbours and their distance in Å.
Fractional coordinates of all 8 atoms:
1 Tm 0.0000 0.1241 0.0000  6 Se 2.79-2.88
2 Tm 0.5000 0.8759 0.5000  6 Se 2.79-2.88
3 H 0.0000 0.6168 0.2814  1 Se 1.49
4 H 0.5000 0.3832 0.7814  1 Se 1.49
5 Se 0.0000 0.1002 0.5017  4 Tm 2.79-2.88
6 Se 0.0000 0.6561 0.5397  1 H 1.49
7 Se 0.5000 0.3439 0.0397  1 H 1.49
8 Se 0.5000 0.8998 0.0017  4 Tm 2.79-2.88

Properties
* energy: -4.863 eV per atom
* density: 5265 kg/m3
* density of states at the Fermi level: 0.000 states/eV per atom


(7)
An optimized crystal structure of TmHSe. Source: Alexandria via LeMat-Bulk, functional PBE.

Cell lengths 9.9323, 3.9407, 6.0332 Å; angles 90.00, 90.00, 90.00 degrees
Last column: nearest neighbours and their distance in Å.
Fractional coordinates of all 12 atoms:
1 Tm 0.0787 0.2500 0.2278  3 H 2.16-2.21
2 Tm 0.4213 0.7500 0.7278  3 H 2.16-2.21
3 Tm 0.5787 0.2500 0.2722  3 H 2.16-2.21
4 Tm 0.9213 0.7500 0.7722  3 H 2.16-2.21
5 H 0.0284 0.7500 0.0846  3 Tm 2.16-2.21, 2 H 2.29
6 H 0.4716 0.2500 0.5846  3 Tm 2.16-2.21, 2 H 2.29
7 H 0.5284 0.7500 0.4154  3 Tm 2.16-2.21, 2 H 2.29
8 H 0.9716 0.2500 0.9154  3 Tm 2.16-2.21, 2 H 2.29
9 Se 0.1648 0.7500 0.5347  4 Tm 2.80-2.84, 1 H 3.03
10 Se 0.3352 0.2500 0.0347  4 Tm 2.80-2.84, 1 H 3.03
11 Se 0.6648 0.7500 0.9653  4 Tm 2.80-2.84, 1 H 3.03
12 Se 0.8352 0.2500 0.4653  4 Tm 2.80-2.84, 1 H 3.03

Properties
* energy: -5.067 eV per atom
* density: 7001 kg/m3
* density of states at the Fermi level: 0.000 states/eV per atom


(8)
An optimized crystal structure of TmHSe2. Source: Alexandria via LeMat-Bulk, functional PBE.

Cell lengths 6.9299, 6.9299, 6.9299 Å; angles 35.10, 35.10, 35.10 degrees
Last column: nearest neighbours and their distance in Å.
Fractional coordinates of all 4 atoms:
1 Tm 0.0000 0.0000 0.0000  6 Se 2.84
2 H 0.5000 0.5000 0.5000  2 Se 1.75
3 Se 0.4101 0.4101 0.4101  1 H 1.75
4 Se 0.5899 0.5899 0.5899  1 H 1.75

Properties
* energy: -4.812 eV per atom
* density: 5542 kg/m3
* density of states at the Fermi level: 0.000 states/eV per atom


(9)
An optimized crystal structure of TmHSe2. Source: Alexandria via LeMat-Bulk, functional PBE.

Cell lengths 4.1797, 4.1797, 12.9910 Å; angles 90.00, 90.00, 120.00 degrees
Last column: nearest neighbours and their distance in Å.
Fractional coordinates of all 8 atoms:
1 Tm 0.0000 0.0000 0.0000  6 Se 2.84
2 Tm 0.0000 0.0000 0.5000  6 Se 2.84
3 H 0.3333 0.6667 0.2500  2 Se 1.75
4 H 0.6667 0.3333 0.7500  2 Se 1.75
5 Se 0.3333 0.6667 0.1151  1 H 1.75
6 Se 0.3333 0.6667 0.3849  1 H 1.75
7 Se 0.6667 0.3333 0.6151  1 H 1.75
8 Se 0.6667 0.3333 0.8849  1 H 1.75

Properties
* energy: -4.811 eV per atom
* density: 5540 kg/m3


(10)
An optimized crystal structure of TmHSe. Source: Alexandria via LeMat-Bulk, functional PBE.

Cell lengths 3.7953, 3.7953, 6.7243 Å; angles 90.00, 90.00, 90.00 degrees
Last column: nearest neighbours and their distance in Å.
Fractional coordinates of all 6 atoms:
1 Tm 0.2500 0.2500 0.1965  4 H 2.31
2 Tm 0.7500 0.7500 0.8035  4 H 2.31
3 H 0.2500 0.7500 0.0000  4 Tm 2.31
4 H 0.7500 0.2500 0.0000  4 Tm 2.31
5 Se 0.2500 0.2500 0.6551  5 Tm 2.86-3.08, 4 H 3.00
6 Se 0.7500 0.7500 0.3449  5 Tm 2.86-3.08, 4 H 3.00

Properties
* energy: -5.091 eV per atom
* density: 8534 kg/m3


(11)
An optimized crystal structure of U4HSe5. Source: Alexandria via LeMat-Bulk, functional PBE.

Cell lengths 8.8081, 8.8081, 7.7312 Å; angles 103.80, 103.80, 25.80 degrees
Last column: nearest neighbours and their distance in Å.
Fractional coordinates of all 10 atoms:
1 U 0.0050 0.0050 0.2745  2 H 2.64, 4 Se 2.81-2.88
2 U 0.3461 0.3461 0.4246  1 H 2.56, 3 Se 2.80-2.84
3 U 0.6539 0.6539 0.5754  1 H 2.56, 3 Se 2.80-2.84
4 U 0.9950 0.9950 0.7255  2 H 2.64, 4 Se 2.81-2.88
5 H 0.5000 0.5000 0.5000  6 U 2.56-2.64
6 Se 0.1634 0.1634 0.8371  3 U 2.80-2.81
7 Se 0.1757 0.1757 0.3188  4 U 2.84-2.88
8 Se 0.5000 0.5000 0.0000  4 U 2.88
9 Se 0.8243 0.8243 0.6812  4 U 2.84-2.88
10 Se 0.8366 0.8366 0.1629  3 U 2.80-2.81

Properties
* energy: -7.336 eV per atom
* density: 8844 kg/m3
* density of states at the Fermi level: 1.524 states/eV per atom